The following is a PBE+U calculation of a geometry-optimized Na3Mn2P2C2O14 structure, from Alexandria.

Calculated values
The spin magnetization is 14.00 μB/cell. The value obtained for the energy above the most stable polymorph in this dataset is 8 meV per atom. The total DFT energy (no corrections) is -6.93 eV per atom. As for the density of states at the Fermi level: 5.24 states/eV per cell.

The structure in CIF format:
```
data_Na3Mn2P2C2O14
_symmetry_space_group_name_H-M 'P 1 c 1'
_symmetry_Int_Tables_number 7
_cell_length_a 9.105
_cell_length_b 6.566
_cell_length_c 10.406
_cell_angle_alpha 90.00
_cell_angle_beta 91.96
_cell_angle_gamma 90.00
loop_
_symmetry_equiv_pos_as_xyz
'x,y,z'
'x,-y,z+1/2'
loop_
_atom_site_label
_atom_site_type_symbol
_atom_site_fract_x
_atom_site_fract_y
_atom_site_fract_z
_atom_site_occupancy
Na1 Na 0.000 0.205 0.000 1
Na2 Na 0.526 0.258 0.747 1
Na3 Na 0.532 0.265 0.230 1
Mn1 Mn 0.108 0.498 0.226 1
Mn2 Mn 0.404 0.008 0.512 1
P1 P 0.187 0.002 0.762 1
P2 P 0.330 0.492 0.980 1
C1 C 0.672 0.008 0.480 1
C2 C 0.845 0.500 0.260 1
O1 O 0.091 0.184 0.223 1
O2 O 0.096 0.192 0.725 1
O3 O 0.184 0.472 0.050 1
O4 O 0.221 0.004 0.911 1
O5 O 0.298 0.496 0.331 1
O6 O 0.337 0.004 0.194 1
O7 O 0.419 0.320 0.526 1
O8 O 0.432 0.307 0.009 1
O9 O 0.571 0.017 0.385 1
O10 O 0.607 0.008 0.593 1
O11 O 0.709 0.496 0.777 1
O12 O 0.805 0.002 0.966 1
O13 O 0.904 0.484 0.148 1
O14 O 0.946 0.486 0.853 1
```